Record 1
The following is a PBE calculation of crystalline Sr3TcRu at its relaxed geometry, from Alexandria via LeMat-Bulk.

DFT formation energy: 5.17 eV/f.u.
Energy: -19.5 eV/cell
Distance to the lowest polymorph of the same formula: 0 meV per atom

Cell and atoms, written as POSCAR:
```
Sr3TcRu
1.0
-3.488 4.374 -0.396
-0.954 -1.249 -5.384
-4.287 -3.281 1.521
Sr Ru Tc
3 1 1
Cartesian
-1.744 2.187 -0.198 Sr
-0.477 -0.624 -2.692 Sr
-2.143 -1.641 0.760 Sr
0.000 0.000 0.000 Ru
-4.365 -0.078 -2.130 Tc
```

Record 2
The following is a PBE calculation of crystalline ReAgB3 at its relaxed geometry, from Alexandria via LeMat-Bulk.

DFT formation energy: 5.31 eV/f.u.
Energy: -30.0 eV/cell
Distance to the lowest polymorph of the same formula: 0 meV per atom

Cell and atoms, written as POSCAR:
```
ReAgB3
1.0
-1.670 -3.573 1.270
3.784 -1.477 0.819
-0.253 1.489 3.858
B Re Ag
3 1 1
Cartesian
-0.127 0.745 1.929 B
1.892 -0.739 0.409 B
-0.835 -1.787 0.635 B
0.000 0.000 0.000 Re
0.930 -1.781 2.973 Ag
```

Record 3
The following is a PBE calculation of crystalline CeAlH at its relaxed geometry, from Alexandria via LeMat-Bulk.

Energy: -109.6 eV/cell
Distance to the lowest polymorph of the same formula: 215 meV per atom

Cell and atoms, written as POSCAR:
```
CeAlH
1.0
-4.888 0.979 3.345
1.882 -3.737 3.845
5.593 8.630 5.649
H Ce Al
8 8 8
Cartesian
0.183 0.430 4.486 H
1.477 -0.893 6.765 H
0.907 5.742 9.378 H
2.170 -2.606 3.974 H
2.825 7.996 7.216 H
-0.387 7.065 7.098 H
3.043 2.060 3.883 H
1.953 3.329 7.307 H
-0.075 4.575 7.556 Ce
-0.864 0.637 2.168 Ce
2.614 5.403 11.244 Ce
1.825 1.465 5.856 Ce
4.250 3.379 7.044 Ce
4.164 6.567 5.986 Ce
-0.872 2.335 5.253 Ce
-0.786 -0.853 6.311 Ce
1.535 2.690 2.996 Al
4.828 5.933 9.056 Al
1.765 4.528 4.991 Al
2.099 2.972 9.126 Al
-0.124 1.534 8.495 Al
1.313 -0.972 3.744 Al
-3.187 0.129 4.429 Al
2.321 6.634 8.378 Al
```

Record 4
The following is a PBE calculation of crystalline Na4Np3FeSe8 at its relaxed geometry, from Alexandria via LeMat-Bulk.

Raw formation energy: -16.504 eV per formula unit
Energy: -96.9 eV/cell

Cell and atoms, written as POSCAR:
```
Na4Np3FeSe8
1.0
8.141 0.000 0.000
0.000 8.440 0.199
-4.071 -4.064 5.762
Se Na Np Fe
8 4 3 1
Cartesian
4.071 0.179 3.115 Se
2.113 2.086 5.840 Se
1.958 2.290 0.121 Se
6.183 2.290 0.121 Se
0.000 4.197 2.847 Se
4.071 4.209 2.968 Se
-2.113 2.086 5.840 Se
0.000 0.167 2.994 Se
-2.035 -2.032 2.881 Na
4.071 0.000 0.000 Na
2.035 -2.032 2.881 Na
0.000 0.000 0.000 Na
2.035 2.188 2.981 Np
4.071 4.220 0.100 Np
-2.035 2.188 2.981 Np
0.000 4.220 0.100 Fe
```